[1]
Entry from the Alexandria database: a relaxed In2GeI8 crystal (PBE).

Cell lengths 21.4033, 9.7797, 14.2184 Å; angles 90.00, 130.82, 90.00 degrees
With the nearest neighbours (Å) after each atom.
Space group C2/c (No. 15)
Inequivalent atoms, fractional coordinates:
In (0.0868, 0.2496, 0.0359)  4 I 2.70-2.81
Ge (0.0000, 0.0110, 0.7500)  6 I 2.97-3.16
I (0.0734, 0.2186, 0.6951)  1 In 2.81, 1 Ge 2.97
I (0.0870, 0.2345, 0.2309)  1 In 2.77
I (0.1571, 0.0175, 0.0215)  1 In 2.80, 1 Ge 3.04
I (0.1604, 0.4849, 0.0551)  1 In 2.70

Calculated values
As for the formation energy without anion corrections: -0.44 eV per atom.

---

[2]
Entry from the Alexandria database: a relaxed BaFe4Mo crystal (PBE).

Cell lengths 7.2495, 7.2495, 7.2495 Å; angles 90.00, 90.00, 90.00 degrees
With the nearest neighbours (Å) after each atom.
Space group F-43m (No. 216)
Inequivalent atoms, fractional coordinates:
Ba (0.0000, 0.0000, 0.0000)  12 Fe 3.01, 4 Mo 3.14
Fe (0.1229, 0.1229, 0.6229)  6 Fe 2.52-2.61
Mo (0.2500, 0.2500, 0.2500)  12 Fe 3.00, 4 Ba 3.14

Calculated values
The formation energy is 0.7924 eV per atom.

---

[3]
Entry from the Alexandria database: a relaxed PrTm4Th2 crystal (PBE).

Cell lengths 3.4932, 8.7320, 8.7596 Å; angles 119.47, 90.05, 101.49 degrees
With the nearest neighbours (Å) after each atom.
Space group P-1 (No. 2)
Inequivalent atoms, fractional coordinates:
Pr (0.0000, 0.0000, 0.0000)  2 Th 3.38, 2 Pr 3.49, 4 Tm 3.62
Tm (0.2935, 0.5854, 0.7052)  3 Th 3.34-3.62, 7 Tm 3.49-3.69, 2 Pr 3.62
Tm (0.3503, 0.7018, 0.1548)  7 Tm 3.49-3.69, 4 Th 3.59-3.71, 2 Pr 3.85-3.86
Th (0.0681, 0.1377, 0.4350)  1 Th 3.09, 1 Tm 3.34, 1 Pr 3.38

Calculated values
The formation energy is 0.0895 eV per atom.

---

[4]
Entry from the Alexandria database: a relaxed Rb2BWI6 crystal (PBE).

Cell lengths 8.1061, 8.1061, 11.4532 Å; angles 90.00, 90.00, 90.00 degrees
With the nearest neighbours (Å) after each atom.
Space group I4/mmm (No. 139)
Inequivalent atoms, fractional coordinates:
Rb (0.0000, 0.5000, 0.2500)  12 I 4.05
B (0.0000, 0.0000, 0.0000)  6 I 2.90-2.91
W (0.0000, 0.0000, 0.5000)  6 I 2.83
I (0.0000, 0.0000, 0.2533)  1 W 2.83, 1 B 2.90
I (0.2464, 0.2464, 0.5000)  1 W 2.83, 1 B 2.91

Calculated values
As for the formation energy without anion corrections: -0.16 eV per atom.

---

[5]
Entry from the Alexandria database: a relaxed SrCa2Hg4 crystal (PBE).

Cell lengths 7.8712, 7.8712, 7.1887 Å; angles 90.00, 90.00, 90.00 degrees
With the nearest neighbours (Å) after each atom.
Space group I4/mmm (No. 139)
Inequivalent atoms, fractional coordinates:
Sr (0.0000, 0.0000, 0.0000)  8 Hg 3.31
Ca (0.0000, 0.5000, 0.0000)  8 Hg 3.31, 2 Ca 3.59
Hg (0.2500, 0.2500, 0.2500)  2 Sr 3.31, 4 Ca 3.31, 2 Hg 3.59

Calculated values
The formation energy is -0.3741 eV per atom.

---

[6]
Entry from the Alexandria database: a relaxed YVGe3 crystal (PBE).

Cell lengths 5.2859, 5.2859, 5.2859 Å; angles 90.00, 90.00, 90.00 degrees
With the nearest neighbours (Å) after each atom.
Space group Pm-3m (No. 221)
Inequivalent atoms, fractional coordinates:
Y (0.0000, 0.0000, 0.0000)  6 Ge 2.64
V (0.5000, 0.5000, 0.5000)  12 Ge 3.74
Ge (0.0000, 0.0000, 0.5000)  2 Y 2.64

Calculated values
The formation energy is 1.0945 eV per atom.